! ZrSc2TiH | Alexandria via LeMat-Bulk | GGA-PBE | optimized geometry; values from VASP
! Symmetry = P4/mmm, No. 123
! VASP energy = -32.91 eV/cell
&SYSTEM
  ibrav = 0, nat = 5, ntyp = 4
/
ATOMIC_SPECIES
Sc 44.96 Sc.upf
H 1.01 H.upf
Zr 91.22 Zr.upf
Ti 47.87 Ti.upf
CELL_PARAMETERS angstrom
4.443 0.000 0.000
0.000 4.443 0.000
0.000 0.000 4.464
ATOMIC_POSITIONS crystal
Sc 0.000 0.500 0.000
Sc 0.500 0.000 0.000
H 0.000 0.000 0.000
Zr 0.000 0.000 0.500
Ti 0.500 0.500 0.500